Record 1
The following is a GGA-PBE calculation of crystalline BaNp2Te4 at its relaxed geometry, from the Alexandria database.

```
BaNp2Te4
1.0
4.550 0.000 0.000
-2.275 7.289 0.000
0.000 0.000 15.367
Ba Np Te
2 4 8
Direct
0.609 0.217 0.750
0.391 0.783 0.250
0.133 0.267 0.438
0.867 0.733 0.938
0.133 0.267 0.062
0.867 0.733 0.562
0.767 0.534 0.116
0.767 0.534 0.384
0.233 0.466 0.884
0.233 0.466 0.616
0.930 0.860 0.750
0.070 0.140 0.250
0.500 0.000 0.000
0.500 0.000 0.500
```

Computed properties:
The energy relative to the elements, uncorrected is -964 meV per atom. As for the space group: Cmcm.

***

Record 2
The following is a GGA-PBE calculation of crystalline K2PuPaO8 at its relaxed geometry, from the Alexandria database.

```
K2PuPaO8
1.0
5.554 -0.109 -0.003
-0.093 5.750 -0.007
0.004 0.008 7.083
K Pu Pa O
2 1 1 8
Direct
0.500 0.500 0.754
0.500 0.500 0.246
0.000 0.000 0.000
0.000 0.000 0.500
0.159 0.846 0.228
0.763 0.767 0.000
0.841 0.154 0.228
0.841 0.154 0.772
0.237 0.233 0.000
0.159 0.846 0.772
0.753 0.756 0.500
0.247 0.244 0.500
```

Computed properties:
The energy relative to the elements, uncorrected is -2267 meV per atom. As for the space group: P2/m.

***

Record 3
The following is a GGA-PBE calculation of crystalline Er3Hg2Pt at its relaxed geometry, from the Alexandria database.

```
Er3Hg2Pt
1.0
5.873 0.000 0.000
0.000 7.745 0.004
-2.937 -1.936 7.037
Er Hg Pt
6 4 2
Direct
0.501 0.250 0.000
0.499 0.750 0.000
0.137 0.068 0.274
0.863 0.432 0.726
0.137 0.568 0.274
0.863 0.932 0.726
0.686 0.593 0.372
0.686 0.093 0.372
0.314 0.907 0.628
0.314 0.407 0.628
0.999 0.750 0.000
0.001 0.250 0.000
```

Computed properties:
The calculation puts the energy of formation from the pure elements at -3.79 eV/f.u. As for the space group: C2/c.

***

Record 4
The following is a GGA-PBE calculation of crystalline SrCaAsAu at its relaxed geometry, from the Alexandria database.

```
SrCaAsAu
1.0
-0.357 3.525 3.923
1.097 -1.450 4.964
4.382 1.776 2.365
Sr As Au Ca
1 1 1 1
Direct
0.250 0.250 0.250
0.500 0.500 0.500
0.000 0.000 0.000
0.750 0.750 0.750
```

Computed properties:
The calculation puts the energy of formation from the pure elements at -3.84 eV/f.u. As for the space group: F-43m.

***

Record 5
The following is a GGA-PBE calculation of crystalline YAg2W at its relaxed geometry, from the Alexandria database.

```
YAg2W
1.0
-4.725 -0.449 2.203
-0.138 -4.420 2.798
3.428 3.953 -0.053
Ag W Y
2 1 1
Direct
0.000 0.000 0.000
0.500 0.500 0.000
0.250 0.750 0.500
0.750 0.250 0.500
```

Computed properties:
The calculation puts the energy of formation from the pure elements at 2.17 eV/f.u. As for the space group: I4/mmm.

***

Record 6
The following is a GGA-PBE calculation of crystalline SrCa2Mg at its relaxed geometry, from the Alexandria database.

```
SrCa2Mg
1.0
6.649 0.002 0.000
2.319 6.232 0.000
-4.484 -3.117 3.793
Sr Ca Mg
1 2 1
Direct
0.750 0.250 0.500
0.000 0.000 0.000
0.500 0.500 0.000
0.250 0.750 0.500
```

Computed properties:
The calculation puts the energy of formation from the pure elements at 0.14 eV/f.u. As for the space group: I4/mmm.

***

Calculated density: 7.3; 5.0; 11.4; 6.4; 10.3; 2.0 (g cm⁻³)
Uncorrected energy: -6.73; -7.74; -4.02; -3.86; -5.74; -1.78 (eV per atom)